Entry from OQMD: crystalline Nd2YCd3Au3 at its relaxed geometry (GGA-PBE).

abc: 3.995 13.645 7.908
angles: 90.00 90.00 90.00
Space group Amm2 (No. 38)
One atom of each set of equivalent atoms:
Nd 0.000 0.202 0.000 [4 per cell]
Y 0.000 0.000 0.394 [2 per cell]
Cd 0.500 0.000 0.058 [2 per cell]
Cd 0.500 0.129 0.667 [4 per cell]
Au 0.000 0.000 0.796 [2 per cell]
Au 0.500 0.164 0.300 [4 per cell]

Properties
The value obtained for the density is 10.06 g/cm³. As for the electronic total energy: -3.8244 eV/atom.